Record 1
TbPm7Nd3: optimized geometry, PBE.

a b c (Å): 6.845 8.824 6.615
angles (deg): 81.34 96.14 79.95
Fractional positions:
Tb (0.500, 0.500, 0.500)
Pm (0.771, 0.210, 0.291)
Pm (0.713, 0.856, 0.564)
Pm (0.268, 0.421, 0.014)
Pm (0.732, 0.579, 0.986)
Pm (0.000, 0.500, 0.500)
Pm (0.287, 0.144, 0.436)
Pm (0.229, 0.790, 0.709)
Nd (0.062, 0.830, 0.183)
Nd (0.500, 0.000, 0.000)
Nd (0.938, 0.170, 0.817)

Properties
Excess energy over the best structure of this formula in the dataset in meV/atom: 0
Space-group type: P-1, No. 2
DFT formation energy in eV/atom: 0.1204
Energy in eV/atom: -4.62

=====

Record 2
TlInW3: optimized geometry, PBE.

a b c (Å): 4.916 4.916 4.916
angles (deg): 90.00 90.00 90.00
Fractional positions:
Tl (0.500, 0.500, 0.500)
W (0.000, 0.500, 0.000)
W (0.000, 0.000, 0.500)
W (0.500, 0.000, 0.000)
In (0.000, 0.000, 0.000)

Properties
Excess energy over the best structure of this formula in the dataset in meV/atom: 0
Space-group type: Pm-3m, No. 221
DFT formation energy in eV/atom: 2.8263
Energy in eV/atom: -5.97

=====

> What is the energy in the first record?

-4.62 eV/atom

=====

What did the first record say?
TbPm7Nd3: optimized geometry, PBE.

a b c (Å): 6.845 8.824 6.615
angles (deg): 81.34 96.14 79.95
Fractional positions:
Tb (0.500, 0.500, 0.500)
Pm (0.771, 0.210, 0.291)
Pm (0.713, 0.856, 0.564)
Pm (0.268, 0.421, 0.014)
Pm (0.732, 0.579, 0.986)
Pm (0.000, 0.500, 0.500)
Pm (0.287, 0.144, 0.436)
Pm (0.229, 0.790, 0.709)
Nd (0.062, 0.830, 0.183)
Nd (0.500, 0.000, 0.000)
Nd (0.938, 0.170, 0.817)

Properties
Excess energy over the best structure of this formula in the dataset in meV/atom: 0
Space-group type: P-1, No. 2
DFT formation energy in eV/atom: 0.1204
Energy in eV/atom: -4.62